Below is a relaxed Sc2NiBO crystal, with properties calculated at the PBE with a Hubbard U level.

The structure in POSCAR format:
```
Sc2NiBO
1.0
4.228 0.000 0.000
0.000 3.782 0.000
0.000 0.000 4.228
O Sc Ni B
1 2 1 1
direct
0.000 0.000 0.000
0.000 0.000 0.500
0.500 0.000 0.000
0.000 0.500 0.000
0.500 0.500 0.500
```

The calculated total energy comes out at -0.2236 Ha/atom. The density of states at the Fermi level is 0.37 states/eV/atom. Its symmetry is P4/mmm, No. 123.